Ce2OsRu3 | GGA-PBE | optimized geometry

Results
Space group ... No. 194
Uncorrected energy ... -8.764 eV per atom

Geometry as CIF:
```
data_Ce2OsRu3
_chemical_formula_sum 'Ce4 Os2 Ru6'
_symmetry_space_group_name_H-M 'P 1'
_symmetry_Int_Tables_number 1
_cell_length_a 5.4402
_cell_length_b 5.4402
_cell_length_c 8.4739
_cell_angle_alpha 90.00
_cell_angle_beta 90.00
_cell_angle_gamma 120.00
loop_
_symmetry_equiv_pos_as_xyz
'x,y,z'
loop_
_atom_site_label
_atom_site_type_symbol
_atom_site_fract_x
_atom_site_fract_y
_atom_site_fract_z
Ce1 Ce 0.6667 0.3333 0.4261
Ce2 Ce 0.3333 0.6667 0.5739
Ce3 Ce 0.3333 0.6667 0.9261
Ce4 Ce 0.6667 0.3333 0.0739
Os1 Os 0.0000 0.0000 0.5000
Os2 Os 0.0000 0.0000 0.0000
Ru1 Ru 0.1700 0.3399 0.2500
Ru2 Ru 0.3399 0.1700 0.7500
Ru3 Ru 0.8300 0.6601 0.7500
Ru4 Ru 0.1700 0.8300 0.2500
Ru5 Ru 0.8300 0.1700 0.7500
Ru6 Ru 0.6601 0.8300 0.2500
```